## NbIn2FeCo (GGA-PBE)

Data for crystalline NbIn2FeCo at its relaxed geometry.

abc: 5.3896 5.3896 4.4011
angles: 90.00 90.00 90.00
Last column: nearest neighbours and their distance in Å.
Space group P4/mmm (No. 123)
Asymmetric unit:
Nb (0.0000, 0.0000, 0.0000) [1 per cell]  2 Fe 2.20
In (0.0000, 0.5000, 0.0000) [2 per cell]  2 Nb 2.69
Fe (0.0000, 0.0000, 0.5000) [1 per cell]  2 Nb 2.20
Co (0.5000, 0.5000, 0.5000) [1 per cell]  8 In 3.48, 4 Fe 3.81

## InFeCoNi (GGA-PBE)

Data for crystalline InFeCoNi at its relaxed geometry.

abc: 6.0161 6.0161 6.0161
angles: 90.00 90.00 90.00
Last column: nearest neighbours and their distance in Å.
Space group F-43m (No. 216)
Asymmetric unit:
In (0.0000, 0.0000, 0.0000) [4 per cell]  4 Co 2.61, 4 Ni 2.61
Fe (0.0000, 0.0000, 0.5000) [4 per cell]  4 Co 2.61, 4 Ni 2.61
Co (0.2500, 0.2500, 0.7500) [4 per cell]  4 In 2.61, 4 Fe 2.61
Ni (0.2500, 0.2500, 0.2500) [4 per cell]  4 In 2.61, 4 Fe 2.61

Computed energy relative to the elements (eV/atom) in order:
1.452; 0.067
Computed E_tot (eV per atom) in order:
-4.77; -5.95